Arrangement 1

The following is a GGA-PBE calculation of a relaxed structure of Sr2LiCaN, from Alexandria.

Properties
Spin magnetization: 0.56 μB per formula unit
DOS at the Fermi energy: 4.041 states/eV per cell

POSCAR file:
```
Sr2LiCaN
1.0
5.3179 0.0000 0.0000
0.0000 5.1934 0.0000
0.0000 0.0000 5.3179
Ca Sr N Li
1 2 1 1
direct
0.5000 0.5000 0.5000 Ca
0.0000 0.0000 0.5000 Sr
0.5000 0.0000 0.0000 Sr
0.0000 0.0000 0.0000 N
0.0000 0.5000 0.0000 Li
```

=====

Arrangement 2

The following is a GGA-PBE calculation of a relaxed structure of Sr2LiCaN, from Alexandria.

Properties
Spin magnetization: 0.00 μB per formula unit
DOS at the Fermi energy: 3.915 states/eV per cell

POSCAR file:
```
Sr2LiCaN
1.0
5.4116 0.0000 0.0000
0.0000 5.4116 0.0000
0.0000 0.0000 4.9572
N Li Sr Ca
1 1 2 1
direct
0.0000 0.0000 0.0000 N
0.5000 0.5000 0.5000 Li
0.0000 0.5000 0.0000 Sr
0.5000 0.0000 0.0000 Sr
0.0000 0.0000 0.5000 Ca
```

=====

Least stable = arrangement 1

=====

Arrangement 1

The following is a GGA-PBE calculation of a relaxed structure of LiCa2TcN, from Alexandria.

Properties
Spin magnetization: 0.00 μB per formula unit
DOS at the Fermi energy: 2.284 states/eV per cell

POSCAR file:
```
LiCa2TcN
1.0
5.0925 0.0000 0.0000
0.0000 5.0925 0.0000
0.0000 0.0000 3.8855
Ca Tc N Li
2 1 1 1
direct
0.0000 0.5000 0.0000 Ca
0.5000 0.0000 0.0000 Ca
0.0000 0.0000 0.5000 Tc
0.0000 0.0000 0.0000 N
0.5000 0.5000 0.5000 Li
```

=====

Arrangement 2

The following is a GGA-PBE calculation of a relaxed structure of LiCa2TcN, from Alexandria.

Properties
Spin magnetization: 2.29 μB per formula unit
DOS at the Fermi energy: 4.108 states/eV per cell

POSCAR file:
```
LiCa2TcN
1.0
-3.3333 1.2373 -3.6150
1.8329 -2.7324 -2.6252
-3.1184 -3.6531 1.6250
Ca Tc Li N
2 1 1 1
direct
0.0000 0.0000 0.5000 Ca
0.5000 0.0000 0.0000 Ca
0.0000 0.5000 0.0000 Tc
0.0000 0.0000 0.0000 Li
0.5000 0.5000 0.5000 N
```

=====

Least stable = arrangement 2

=====

Arrangement 1

The following is a GGA-PBE calculation of a relaxed structure of LiCaTe2N, from Alexandria.

Properties
Spin magnetization: 1.52 μB per formula unit
DOS at the Fermi energy: 4.663 states/eV per cell

POSCAR file:
```
LiCaTe2N
1.0
-4.7105 -2.7632 0.8031
1.9720 -1.9780 4.7611
-1.4343 2.9773 1.8310
Ca Te N Li
1 2 1 1
direct
0.5000 0.5000 0.5000 Ca
0.0000 0.5000 0.0000 Te
0.5000 0.0000 0.0000 Te
0.0000 0.0000 0.5000 N
0.0000 0.0000 0.0000 Li
```

=====

Arrangement 2

The following is a GGA-PBE calculation of a relaxed structure of LiCaTe2N, from Alexandria.

Properties
Spin magnetization: 2.67 μB per formula unit
DOS at the Fermi energy: 5.833 states/eV per cell

POSCAR file:
```
LiCaTe2N
1.0
6.0137 0.0000 0.0000
0.0000 6.0137 0.0000
0.0000 0.0000 4.5838
Te Li N Ca
2 1 1 1
direct
0.5000 0.0000 0.0000 Te
0.0000 0.5000 0.0000 Te
0.5000 0.5000 0.5000 Li
0.0000 0.0000 0.5000 N
0.0000 0.0000 0.0000 Ca
```

=====

Least stable = arrangement 2

=====

Arrangement 1

The following is a GGA-PBE calculation of a relaxed structure of Na2LiCa, from Alexandria.

Properties
Spin magnetization: 0.00 μB per formula unit
DOS at the Fermi energy: 3.105 states/eV per cell

POSCAR file:
```
Na2LiCa
1.0
3.7598 0.0000 0.0000
0.0000 3.7598 0.0000
0.0000 0.0000 9.5501
Ca Na Li
1 2 1
direct
0.5000 0.5000 0.5000 Ca
0.0000 0.0000 0.2132 Na
0.0000 0.0000 0.7868 Na
0.5000 0.5000 0.0000 Li
```

=====

Arrangement 2

The following is a GGA-PBE calculation of a relaxed structure of Na2LiCa, from Alexandria.

Properties
Spin magnetization: 0.00 μB per formula unit
DOS at the Fermi energy: 6.432 states/eV per cell

POSCAR file:
```
Na2LiCa
1.0
-7.2827 -4.3825 -3.0996
3.8163 -7.9010 2.2047
-3.1560 -5.9657 2.6465
Ca Na Li
2 4 2
direct
0.0000 0.0000 0.0000 Ca
0.7500 0.2500 0.5000 Ca
0.8750 0.8300 0.7500 Na
0.3750 0.4200 0.7500 Na
0.5800 0.1250 0.2500 Na
0.1700 0.6250 0.2500 Na
0.2500 0.7500 0.5000 Li
0.5000 0.5000 0.0000 Li
```

=====

Arrangement 3

The following is a GGA-PBE calculation of a relaxed structure of Na2LiCa, from Alexandria.

Properties
Spin magnetization: 0.00 μB per formula unit
DOS at the Fermi energy: 2.322 states/eV per cell

POSCAR file:
```
Na2LiCa
1.0
3.8126 0.0000 0.0000
0.0000 3.8126 0.0000
0.0000 0.0000 9.3722
Na Ca Li
2 1 1
direct
0.5000 0.5000 0.2848 Na
0.0000 0.0000 0.0100 Na
0.5000 0.5000 0.7166 Ca
0.0000 0.0000 0.4887 Li
```

=====

Least stable = arrangement 2

=====

Arrangement 1

The following is a GGA-PBE calculation of a relaxed structure of Na2LiCa, from Alexandria.

Properties
Spin magnetization: 0.00 μB per formula unit
DOS at the Fermi energy: 2.387 states/eV per cell

POSCAR file:
```
Na2LiCa
1.0
5.6582 0.0000 0.0000
0.0000 4.9170 0.0000
0.0000 0.0000 4.9170
Li Na Ca
1 2 1
direct
0.5000 0.0000 0.0000 Li
0.0000 0.5000 0.0000 Na
0.0000 0.0000 0.5000 Na
0.5000 0.5000 0.5000 Ca
```

=====

Arrangement 2

The following is a GGA-PBE calculation of a relaxed structure of Na2LiCa, from Alexandria.

Properties
Spin magnetization: 0.00 μB per formula unit
DOS at the Fermi energy: 2.735 states/eV per cell

POSCAR file:
```
Na2LiCa
1.0
0.0000 4.0887 4.0887
4.0887 0.0000 4.0887
4.0887 4.0887 0.0000
Ca Na Li
1 2 1
direct
0.5000 0.5000 0.5000 Ca
0.2500 0.2500 0.2500 Na
0.7500 0.7500 0.7500 Na
0.0000 0.0000 0.0000 Li
```

=====

Least stable = arrangement 2

=====

Arrangement 1

The following is a GGA-PBE calculation of a relaxed structure of NaLiCa2, from Alexandria.

Properties
Spin magnetization: 0.00 μB per formula unit
DOS at the Fermi energy: 3.691 states/eV per cell

POSCAR file:
```
NaLiCa2
1.0
-3.4036 0.2631 1.7396
-1.0587 -2.6567 2.5497
3.3533 5.4552 9.9552
Ca Na Li
2 1 1
direct
0.0763 0.0763 0.7711 Ca
0.2570 0.2570 0.2290 Ca
0.5002 0.5002 0.4995 Na
0.6665 0.6665 0.0004 Li
```

=====

Arrangement 2

The following is a GGA-PBE calculation of a relaxed structure of NaLiCa2, from Alexandria.

Properties
Spin magnetization: 0.00 μB per formula unit
DOS at the Fermi energy: 3.305 states/eV per cell

POSCAR file:
```
NaLiCa2
1.0
-0.4033 3.6028 4.5519
-3.3756 4.7291 -0.3225
-4.9355 0.2668 3.0712
Li Na Ca
1 1 2
direct
0.0000 0.0000 0.0000 Li
0.5000 0.5000 0.5000 Na
0.7500 0.7500 0.7500 Ca
0.2500 0.2500 0.2500 Ca
```

=====

Least stable = arrangement 1

=====

Arrangement 1

The following is a GGA-PBE calculation of a relaxed structure of NaLiCa2, from Alexandria.

Properties
Spin magnetization: 0.00 μB per formula unit
DOS at the Fermi energy: 6.203 states/eV per cell

POSCAR file:
```
NaLiCa2
1.0
-1.2925 4.0522 7.9486
-1.7699 -7.9884 3.7847
1.9419 -2.3724 6.6375
Ca Li Na
4 2 2
direct
0.1477 0.6250 0.2500 Ca
0.6023 0.1250 0.2500 Ca
0.8750 0.8523 0.7500 Ca
0.3750 0.3977 0.7500 Ca
0.2500 0.7500 0.5000 Li
0.5000 0.5000 0.0000 Li
0.7500 0.2500 0.5000 Na
0.0000 0.0000 0.0000 Na
```

=====

Arrangement 2

The following is a GGA-PBE calculation of a relaxed structure of NaLiCa2, from Alexandria.

Properties
Spin magnetization: 0.00 μB per formula unit
DOS at the Fermi energy: 3.625 states/eV per cell

POSCAR file:
```
NaLiCa2
1.0
-0.8798 -0.9075 -3.5292
1.9315 -2.6708 -1.7857
-7.7126 -9.8575 2.4666
Li Na Ca
1 1 2
direct
0.5000 0.5000 0.5000 Li
0.0000 0.0000 0.0000 Na
0.9051 0.9051 0.2848 Ca
0.0949 0.0949 0.7152 Ca
```

=====

Least stable = arrangement 1

=====

Arrangement 1

The following is a GGA-PBE calculation of a relaxed structure of NaLiCa2, from Alexandria.

Properties
Spin magnetization: 0.00 μB per formula unit
DOS at the Fermi energy: 2.764 states/eV per cell

POSCAR file:
```
NaLiCa2
1.0
-1.1445 -0.4041 -3.8360
-0.0357 -4.0000 0.4320
-8.2749 0.3366 2.4334
Ca Na Li
2 1 1
direct
0.0000 0.0000 0.2202 Ca
0.0000 0.0000 0.7798 Ca
0.5000 0.5000 0.5000 Na
0.5000 0.5000 0.0000 Li
```

=====

Arrangement 2

The following is a GGA-PBE calculation of a relaxed structure of NaLiCa2, from Alexandria.

Properties
Spin magnetization: 0.00 μB per formula unit
DOS at the Fermi energy: 2.854 states/eV per cell

POSCAR file:
```
NaLiCa2
1.0
4.1501 0.0000 0.0000
0.0000 5.8020 0.0000
0.0000 0.0000 5.8020
Ca Li Na
2 1 1
direct
0.0000 0.0000 0.5000 Ca
0.0000 0.5000 0.0000 Ca
0.5000 0.0000 0.0000 Li
0.5000 0.5000 0.5000 Na
```

=====

Least stable = arrangement 2

=====

Arrangement 1

The following is a GGA-PBE calculation of a relaxed structure of NaLiCa, from Alexandria.

Properties
Spin magnetization: 0.00 μB per formula unit
DOS at the Fermi energy: 5.577 states/eV per cell

POSCAR file:
```
NaLiCa
1.0
-3.3971 0.5692 1.4954
-3.0712 -0.2884 -2.1455
-1.0915 -16.4854 3.7800
Na Li Ca
2 2 2
direct
0.6342 0.9751 0.6979 Na
0.9665 0.3088 0.8840 Na
0.6257 0.9809 0.3525 Li
0.9577 0.3147 0.2289 Li
0.2963 0.6451 0.5098 Ca
0.2921 0.6470 0.0716 Ca
```

=====

Arrangement 2

The following is a GGA-PBE calculation of a relaxed structure of NaLiCa, from Alexandria.

Properties
Spin magnetization: 0.00 μB per formula unit
DOS at the Fermi energy: 13.300 states/eV per cell

POSCAR file:
```
NaLiCa
1.0
9.5470 -2.0343 -1.6476
3.0021 9.2882 -1.6476
2.7260 1.5758 5.6057
Na Ca Li
6 6 6
direct
0.7756 0.4455 0.2235 Na
0.2244 0.5545 0.7765 Na
0.4455 0.7756 0.7235 Na
0.5545 0.2244 0.2765 Na
0.9448 0.0552 0.2500 Na
0.0552 0.9448 0.7500 Na
0.8480 0.6397 0.6330 Ca
0.3603 0.1520 0.8670 Ca
0.7811 0.2189 0.7500 Ca
0.1520 0.3603 0.3670 Ca
0.2189 0.7811 0.2500 Ca
0.6397 0.8480 0.1330 Ca
0.3330 0.0295 0.4133 Li
0.6670 0.9705 0.5867 Li
0.9705 0.6670 0.0867 Li
0.0295 0.3330 0.9133 Li
0.4656 0.5344 0.2500 Li
0.5344 0.4656 0.7500 Li
```

=====

Arrangement 3

The following is a GGA-PBE calculation of a relaxed structure of NaLiCa, from Alexandria.

Properties
Spin magnetization: 0.00 μB per formula unit
DOS at the Fermi energy: 2.087 states/eV per cell

POSCAR file:
```
NaLiCa
1.0
-0.7582 -2.7702 2.7276
0.7180 -2.8309 -2.6756
6.0649 2.7725 1.6259
Na Li Ca
1 1 1
direct
0.3127 0.3127 0.6255 Na
0.6765 0.6765 0.3530 Li
0.0108 0.0108 0.0215 Ca
```

=====

Least stable = arrangement 2

=====

Arrangement 1

The following is a GGA-PBE calculation of a relaxed structure of Na2LiCa2, from Alexandria.

Properties
Spin magnetization: 0.00 μB per formula unit
DOS at the Fermi energy: 7.986 states/eV per cell

POSCAR file:
```
Na2LiCa2
1.0
7.9350 0.0000 0.0000
0.0000 7.9350 0.0000
0.0000 0.0000 5.7226
Ca Na Li
4 4 2
direct
0.1775 0.6775 0.5000 Ca
0.6775 0.8225 0.5000 Ca
0.8225 0.3225 0.5000 Ca
0.3225 0.1775 0.5000 Ca
0.8627 0.6373 0.0000 Na
0.1373 0.3627 0.0000 Na
0.6373 0.1373 0.0000 Na
0.3627 0.8627 0.0000 Na
0.0000 0.0000 0.0000 Li
0.5000 0.5000 0.0000 Li
```

=====

Arrangement 2

The following is a GGA-PBE calculation of a relaxed structure of Na2LiCa2, from Alexandria.

Properties
Spin magnetization: 0.00 μB per formula unit
DOS at the Fermi energy: 4.654 states/eV per cell

POSCAR file:
```
Na2LiCa2
1.0
-1.2577 -0.4244 -4.0656
3.4624 -2.3715 -0.8235
-3.9957 -9.6894 -0.0020
Na Li Ca
2 1 2
direct
0.7500 0.2500 0.5000 Na
0.2500 0.7500 0.5000 Na
0.0000 0.0000 0.0000 Li
0.4086 0.4086 0.1828 Ca
0.5914 0.5914 0.8172 Ca
```

=====

Arrangement 3

The following is a GGA-PBE calculation of a relaxed structure of Na2LiCa2, from Alexandria.

Properties
Spin magnetization: 0.00 μB per formula unit
DOS at the Fermi energy: 9.233 states/eV per cell

POSCAR file:
```
Na2LiCa2
1.0
-9.3145 -0.8213 -1.6832
-0.9607 -5.2346 7.8704
-0.7243 3.5527 2.2745
Ca Na Li
4 4 2
direct
0.8548 0.6452 0.0000 Ca
0.3548 0.8548 0.0000 Ca
0.1452 0.3548 0.0000 Ca
0.6452 0.1452 0.0000 Ca
0.8465 0.3465 0.5000 Na
0.1535 0.6535 0.5000 Na
0.6535 0.8465 0.5000 Na
0.3465 0.1535 0.5000 Na
0.0000 0.0000 0.0000 Li
0.5000 0.5000 0.0000 Li
```

=====

Least stable = arrangement 3

=====

Arrangement 1

The following is a GGA-PBE calculation of a relaxed structure of NaLiCa6, from Alexandria.

Properties
Spin magnetization: 0.00 μB per formula unit
DOS at the Fermi energy: 7.514 states/eV per cell

POSCAR file:
```
NaLiCa6
1.0
5.4532 0.0002 1.6420
-0.4948 5.4305 1.6426
-0.1366 -0.1508 10.3303
Ca Na Li
6 1 1
direct
0.7504 0.7504 0.4992 Ca
0.8881 0.3881 0.2238 Ca
0.2496 0.2496 0.5008 Ca
0.3881 0.8881 0.2238 Ca
0.1119 0.6119 0.7762 Ca
0.6119 0.1119 0.7762 Ca
0.5000 0.5000 0.0000 Na
0.0000 0.0000 0.0000 Li
```

=====

Arrangement 2

The following is a GGA-PBE calculation of a relaxed structure of NaLiCa6, from Alexandria.

Properties
Spin magnetization: 0.00 μB per formula unit
DOS at the Fermi energy: 8.350 states/eV per cell

POSCAR file:
```
NaLiCa6
1.0
9.6743 0.0169 0.0253
4.8307 8.3742 0.0155
4.8229 2.7912 3.9363
Ca Li Na
6 1 1
direct
0.5002 0.2479 0.2518 Ca
0.9997 0.5002 0.2522 Ca
0.4998 0.7521 0.7482 Ca
0.0003 0.4998 0.7478 Ca
0.2478 0.0000 0.2522 Ca
0.7522 0.0000 0.7478 Ca
0.0000 0.0000 0.0000 Li
0.5000 0.5000 0.5000 Na
```

=====

Least stable = arrangement 2

=====

Arrangement 1

The following is a GGA-PBE calculation of a relaxed structure of NaLiCa2Pt, from Alexandria.

Properties
Spin magnetization: 0.00 μB per formula unit
DOS at the Fermi energy: 2.665 states/eV per cell

POSCAR file:
```
NaLiCa2Pt
1.0
5.5288 0.0000 0.0000
0.0000 5.5288 0.0000
0.0000 0.0000 5.6019
Ca Pt Li Na
2 1 1 1
direct
0.5000 0.0000 0.0000 Ca
0.0000 0.5000 0.0000 Ca
0.0000 0.0000 0.0000 Pt
0.5000 0.5000 0.5000 Li
0.0000 0.0000 0.5000 Na
```

=====

Arrangement 2

The following is a GGA-PBE calculation of a relaxed structure of NaLiCa2Pt, from Alexandria.

Properties
Spin magnetization: 0.00 μB per formula unit
DOS at the Fermi energy: 1.746 states/eV per cell

POSCAR file:
```
NaLiCa2Pt
1.0
5.5991 0.0000 0.0000
0.0000 5.5991 0.0000
0.0000 0.0000 5.0311
Na Pt Ca Li
1 1 2 1
direct
0.5000 0.5000 0.5000 Na
0.0000 0.0000 0.0000 Pt
0.0000 0.5000 0.0000 Ca
0.5000 0.0000 0.0000 Ca
0.0000 0.0000 0.5000 Li
```

=====

Least stable = arrangement 1